(1)
Crystalline Li4ZnIn2Cu at its relaxed geometry. Source: OQMD via LeMat-Bulk, functional PBE.

Structure (extended XYZ):
```
8
Lattice="4.472 0.000 0.000 0.000 4.472 0.000 0.000 0.000 6.338" Properties=species:S:1:pos:R:3 pbc="T T T"
Li 0.000 0.000 0.000
Li 0.000 2.236 4.724
Li 2.236 0.000 1.614
Li 2.236 2.236 3.169
Zn 2.236 2.236 0.000
In 0.000 2.236 1.655
In 2.236 0.000 4.682
Cu 0.000 0.000 3.169
```

Energy ... -20.04 eV for the cell shown
Crystal system ... tetragonal
Space-group type ... P-4m2, No. 115

=====

(2)
Crystalline LiZnIn2Cu4 at its relaxed geometry. Source: OQMD via LeMat-Bulk, functional PBE.

Structure (extended XYZ):
```
8
Lattice="4.369 0.000 0.000 0.000 4.369 0.000 0.000 0.000 6.182" Properties=species:S:1:pos:R:3 pbc="T T T"
Li 0.000 0.000 0.000
Zn 2.184 2.184 3.091
In 0.000 0.000 3.091
In 2.184 2.184 0.000
Cu 0.000 2.184 1.544
Cu 0.000 2.184 4.638
Cu 2.184 0.000 1.544
Cu 2.184 0.000 4.638
```

Energy ... -23.88 eV for the cell shown
Crystal system ... tetragonal
Space-group type ... P4/mmm, No. 123

=====

(3)
Crystalline Li4Zn2InCu at its relaxed geometry. Source: OQMD via LeMat-Bulk, functional PBE.

Structure (extended XYZ):
```
8
Lattice="4.339 0.000 0.000 0.000 4.339 0.000 0.000 0.000 6.257" Properties=species:S:1:pos:R:3 pbc="T T T"
Li 0.000 0.000 0.000
Li 0.000 2.169 1.403
Li 2.169 0.000 4.854
Li 2.169 2.169 3.129
Zn 0.000 2.169 4.867
Zn 2.169 0.000 1.391
In 0.000 0.000 3.129
Cu 2.169 2.169 0.000
```

Energy ... -18.21 eV for the cell shown
Crystal system ... tetragonal
Space-group type ... P-4m2, No. 115

=====

(4)
Crystalline LuInCu2 at its relaxed geometry. Source: OQMD via LeMat-Bulk, functional PBE.

Structure (extended XYZ):
```
16
Lattice="6.580 0.000 0.000 0.000 6.580 0.000 0.000 0.000 6.580" Properties=species:S:1:pos:R:3 pbc="T T T"
Lu 0.000 0.000 0.000
Lu 0.000 3.290 3.290
Lu 3.290 0.000 3.290
Lu 3.290 3.290 0.000
In 1.645 1.645 4.935
In 1.645 4.935 1.645
In 4.935 1.645 1.645
In 4.935 4.935 4.935
Cu 0.000 0.000 3.290
Cu 0.000 3.290 0.000
Cu 1.645 1.645 1.645
Cu 1.645 4.935 4.935
Cu 3.290 0.000 0.000
Cu 3.290 3.290 3.290
Cu 4.935 1.645 4.935
Cu 4.935 4.935 1.645
```

Energy ... -60.16 eV for the cell shown
Crystal system ... cubic
Space-group type ... F-43m, No. 216

=====

(5)
Crystalline LuIn2Cu at its relaxed geometry. Source: OQMD via LeMat-Bulk, functional PBE.

Structure (extended XYZ):
```
16
Lattice="6.999 0.000 0.000 0.000 6.999 0.000 0.000 0.000 6.999" Properties=species:S:1:pos:R:3 pbc="T T T"
Lu 0.000 0.000 0.000
Lu 0.000 3.500 3.500
Lu 3.500 0.000 3.500
Lu 3.500 3.500 0.000
In 0.000 0.000 3.500
In 0.000 3.500 0.000
In 1.750 1.750 1.750
In 1.750 5.249 5.249
In 3.500 0.000 0.000
In 3.500 3.500 3.500
In 5.249 1.750 5.249
In 5.249 5.249 1.750
Cu 1.750 1.750 5.249
Cu 1.750 5.249 1.750
Cu 5.249 1.750 1.750
Cu 5.249 5.249 5.249
```

Energy ... -56.63 eV for the cell shown
Crystal system ... cubic
Space-group type ... F-43m, No. 216

=====

(6)
Crystalline LuMgInCu at its relaxed geometry. Source: OQMD via LeMat-Bulk, functional PBE.

Structure (extended XYZ):
```
16
Lattice="6.817 0.000 0.000 0.000 6.817 0.000 0.000 0.000 6.817" Properties=species:S:1:pos:R:3 pbc="T T T"
Lu 0.000 0.000 0.000
Lu 0.000 3.409 3.409
Lu 3.409 0.000 3.409
Lu 3.409 3.409 0.000
Mg 1.704 1.704 1.704
Mg 1.704 5.113 5.113
Mg 5.113 1.704 5.113
Mg 5.113 5.113 1.704
In 0.000 0.000 3.409
In 0.000 3.409 0.000
In 3.409 0.000 0.000
In 3.409 3.409 3.409
Cu 1.704 1.704 5.113
Cu 1.704 5.113 1.704
Cu 5.113 1.704 1.704
Cu 5.113 5.113 5.113
```

Energy ... -52.44 eV for the cell shown
Crystal system ... cubic
Space-group type ... F-43m, No. 216

=====

(7)
Crystalline LuMgInCu at its relaxed geometry. Source: OQMD via LeMat-Bulk, functional PBE.

Structure (extended XYZ):
```
16
Lattice="6.880 0.000 0.000 0.000 6.880 0.000 0.000 0.000 6.880" Properties=species:S:1:pos:R:3 pbc="T T T"
Lu 0.000 0.000 0.000
Lu 0.000 3.440 3.440
Lu 3.440 0.000 3.440
Lu 3.440 3.440 0.000
Mg 1.720 1.720 5.160
Mg 1.720 5.160 1.720
Mg 5.160 1.720 1.720
Mg 5.160 5.160 5.160
In 1.720 1.720 1.720
In 1.720 5.160 5.160
In 5.160 1.720 5.160
In 5.160 5.160 1.720
Cu 0.000 0.000 3.440
Cu 0.000 3.440 0.000
Cu 3.440 0.000 0.000
Cu 3.440 3.440 3.440
```

Energy ... -51.03 eV for the cell shown
Crystal system ... cubic
Space-group type ... F-43m, No. 216

=====

(8)
Crystalline Lu4InCuN2 at its relaxed geometry. Source: OQMD via LeMat-Bulk, functional PBE.

Structure (extended XYZ):
```
8
Lattice="3.408 0.000 0.000 -1.704 2.952 0.000 0.000 0.000 14.617" Properties=species:S:1:pos:R:3 pbc="T T T"
Lu 0.000 0.000 2.045
Lu 0.000 0.000 12.572
Lu 0.000 1.968 4.708
Lu 0.000 1.968 9.909
In 0.000 0.000 7.308
Cu 0.000 1.968 0.000
N 1.704 0.984 3.516
N 1.704 0.984 11.101
```

Energy ... -49.14 eV for the cell shown
Crystal system ... hexagonal
Space-group type ... P-6m2, No. 187

=====

(9)
Crystalline LuNbInCu at its relaxed geometry. Source: OQMD via LeMat-Bulk, functional PBE.

Structure (extended XYZ):
```
16
Lattice="6.861 0.000 0.000 0.000 6.861 0.000 0.000 0.000 6.861" Properties=species:S:1:pos:R:3 pbc="T T T"
Lu 0.000 0.000 0.000
Lu 0.000 3.430 3.430
Lu 3.430 0.000 3.430
Lu 3.430 3.430 0.000
Nb 1.715 1.715 1.715
Nb 1.715 5.145 5.145
Nb 5.145 1.715 5.145
Nb 5.145 5.145 1.715
In 0.000 0.000 3.430
In 0.000 3.430 0.000
In 3.430 0.000 0.000
In 3.430 3.430 3.430
Cu 1.715 1.715 5.145
Cu 1.715 5.145 1.715
Cu 5.145 1.715 1.715
Cu 5.145 5.145 5.145
```

Energy ... -80.12 eV for the cell shown
Crystal system ... cubic
Space-group type ... F-43m, No. 216

=====

(10)
Crystalline LuInCuNi at its relaxed geometry. Source: OQMD via LeMat-Bulk, functional PBE.

Structure (extended XYZ):
```
16
Lattice="6.529 0.000 0.000 0.000 6.529 0.000 0.000 0.000 6.529" Properties=species:S:1:pos:R:3 pbc="T T T"
Lu 0.000 0.000 0.000
Lu 0.000 3.264 3.264
Lu 3.264 0.000 3.264
Lu 3.264 3.264 0.000
In 1.632 1.632 1.632
In 1.632 4.896 4.896
In 4.896 1.632 4.896
In 4.896 4.896 1.632
Cu 1.632 1.632 4.896
Cu 1.632 4.896 1.632
Cu 4.896 1.632 1.632
Cu 4.896 4.896 4.896
Ni 0.000 0.000 3.264
Ni 0.000 3.264 0.000
Ni 3.264 0.000 0.000
Ni 3.264 3.264 3.264
```

Energy ... -67.91 eV for the cell shown
Crystal system ... cubic
Space-group type ... F-43m, No. 216

=====

(11)
Crystalline Lu3In3Cu2Ni at its relaxed geometry. Source: OQMD via LeMat-Bulk, functional PBE.

Structure (extended XYZ):
```
9
Lattice="7.373 0.000 0.000 -3.687 6.385 0.000 0.000 0.000 3.824" Properties=species:S:1:pos:R:3 pbc="T T T"
Lu -2.184 3.783 0.000
Lu 1.502 2.602 0.000
Lu 4.368 0.000 0.000
In -0.937 1.622 1.912
In 1.873 0.000 1.912
In 2.750 4.763 1.912
Cu 0.000 4.257 1.912
Cu 3.687 2.128 1.912
Ni 0.000 0.000 0.000
```

Energy ... -38.69 eV for the cell shown
Crystal system ... hexagonal
Space-group type ... P-62m, No. 189

=====

(12)
Crystalline LuInCuNi at its relaxed geometry. Source: OQMD via LeMat-Bulk, functional PBE.

Structure (extended XYZ):
```
16
Lattice="6.549 0.000 0.000 0.000 6.549 0.000 0.000 0.000 6.549" Properties=species:S:1:pos:R:3 pbc="T T T"
Lu 0.000 0.000 0.000
Lu 0.000 3.275 3.275
Lu 3.275 0.000 3.275
Lu 3.275 3.275 0.000
In 1.637 1.637 1.637
In 1.637 4.912 4.912
In 4.912 1.637 4.912
In 4.912 4.912 1.637
Cu 0.000 0.000 3.275
Cu 0.000 3.275 0.000
Cu 3.275 0.000 0.000
Cu 3.275 3.275 3.275
Ni 1.637 1.637 4.912
Ni 1.637 4.912 1.637
Ni 4.912 1.637 1.637
Ni 4.912 4.912 4.912
```

Energy ... -67.44 eV for the cell shown
Crystal system ... cubic
Space-group type ... F-43m, No. 216